This record from Alexandria via LeMat-Bulk describes an optimized crystal structure of Cu2SnCl. The functional is PBE.

Calculated values
The formation energy (no corrections) is 0.06 eV/atom. The raw total energy is -3.4470 eV per atom. The volume is 22.0 Å³/atom. The value obtained for the energy above the most stable polymorph in this dataset is 0 meV per atom. The value obtained for the theoretical density is 5.32 g/cm3.

Cell lengths 6.289, 6.289, 6.284 Å; angles 59.97, 59.97, 90.00 degrees
Fractional positions:
Sn 0.000 0.000 0.000
Sn 0.750 0.250 0.500
Cu 0.600 0.125 0.250
Cu 0.150 0.625 0.250
Cu 0.375 0.400 0.750
Cu 0.875 0.850 0.750
Cl 0.500 0.500 0.000
Cl 0.250 0.750 0.500